Record 1
PBE PuCdSb, relaxed; SG = F-43m
1.0
4.258 -2.551 -1.039
2.373 -2.573 3.669
-0.027 -5.071 -0.035
Sb Pu Cd
1 1 1
direct
0.000 0.000 0.000
0.250 0.250 0.250
0.500 0.500 0.500

Record 2
PBE PuCdSi, relaxed; SG = F-43m; distance to the lowest polymorph of the same formula = 0 meV/atom
1.0
0.000 3.320 3.320
3.320 0.000 3.320
3.320 3.320 0.000
Si Cd Pu
1 1 1
direct
0.000 0.000 0.000
0.250 0.250 0.250
0.750 0.750 0.750

Record 3
PBE PuCdSi, relaxed; SG = F-43m; distance to the lowest polymorph of the same formula = 502 meV/atom
1.0
0.000 3.403 3.403
3.403 0.000 3.403
3.403 3.403 0.000
Si Pu Cd
1 1 1
direct
0.000 0.000 0.000
0.250 0.250 0.250
0.500 0.500 0.500

Record 4
PBE SrPuCd, relaxed; SG = F-43m; distance to the lowest polymorph of the same formula = 0 meV/atom
1.0
-0.295 -5.287 -0.430
0.406 -3.044 4.335
-4.262 -2.581 1.843
Cd Sr Pu
1 1 1
direct
0.500 0.500 0.500
0.000 0.000 0.000
0.250 0.250 0.250

| no. | VASP energy (eV/atom) | magnetic moment (μB per formula unit) |
| --- | --- | --- |
| 1 | -6.5279 | 5.3 |
| 2 | -6.9902 | 6.0 |
| 3 | -6.4887 | 5.3 |
| 4 | -4.9799 | 7.1 |